No. 1
# TaSbAsBr2

A relaxed TaSbAsBr2 crystal (PBE-GGA, Alexandria via LeMat-Bulk).

Calculated values
- D(E_F): 8.0 states/eV/f.u.
- Final energy: -17.755 eV per formula unit
- E above lowest polymorph: 0.9263 eV/atom
- Formation energy (no corrections): 1.24 eV/atom
- Magnetic moment: 3.2 μB/cell

Unit cell a=5.380 b=5.380 c=5.514 alpha=90.00 beta=90.00 gamma=90.00
Space group P4/mmm (No. 123)
Symmetry-distinct sites (fractional):
1 Ta 0.000 0.000 0.000 [1 per cell]
2 Sb 0.500 0.500 0.500 [1 per cell]
3 As 0.500 0.500 0.000 [1 per cell]
4 Br 0.000 0.500 0.500 [2 per cell]

---

No. 2
# TcSbAsBr2

A relaxed TcSbAsBr2 crystal (PBE-GGA, Alexandria via LeMat-Bulk).

Calculated values
- D(E_F): 6.4 states/eV/f.u.
- Final energy: -19.965 eV per formula unit
- E above lowest polymorph: 0.0000 eV/atom
- Formation energy (no corrections): 0.50 eV/atom
- Magnetic moment: 1.4 μB/cell

Unit cell a=5.080 b=5.080 c=4.897 alpha=90.00 beta=90.00 gamma=90.00
Space group P4/mmm (No. 123)
Symmetry-distinct sites (fractional):
1 Tc 0.000 0.000 0.000 [1 per cell]
2 Sb 0.500 0.500 0.500 [1 per cell]
3 As 0.000 0.000 0.500 [1 per cell]
4 Br 0.000 0.500 0.000 [2 per cell]

---

No. 3
# TcSbAs2Br

A relaxed TcSbAs2Br crystal (PBE-GGA, Alexandria via LeMat-Bulk).

Calculated values
- D(E_F): 5.1 states/eV/f.u.
- Final energy: -23.115 eV per formula unit
- E above lowest polymorph: 0.0000 eV/atom
- Formation energy (no corrections): 0.47 eV/atom
- Magnetic moment: 0.0 μB/cell

Unit cell a=4.765 b=4.765 c=5.363 alpha=90.00 beta=90.00 gamma=90.00
Space group P4/mmm (No. 123)
Symmetry-distinct sites (fractional):
1 Tc 0.000 0.000 0.000 [1 per cell]
2 Sb 0.500 0.500 0.500 [1 per cell]
3 As 0.000 0.500 0.000 [2 per cell]
4 Br 0.000 0.000 0.500 [1 per cell]